1.
# Ba8Pd3Pt2 PBE relaxed
# total energy	-3.85	eV/atom
data_Ba8Pd3Pt2
_symmetry_space_group_name_H-M 'C 1 2/m 1'
_symmetry_Int_Tables_number 12
_cell_length_a 16.007
_cell_length_b 9.283
_cell_length_c 7.941
_cell_angle_alpha 90.00
_cell_angle_beta 109.60
_cell_angle_gamma 90.00
loop_
_symmetry_equiv_pos_as_xyz
'x,y,z'
'-x,-y,-z'
'-x,y,-z'
'x,-y,z'
'x+1/2,y+1/2,z'
'-x+1/2,-y+1/2,-z'
'-x+1/2,y+1/2,-z'
'x+1/2,-y+1/2,z'
loop_
_atom_site_label
_atom_site_type_symbol
_atom_site_fract_x
_atom_site_fract_y
_atom_site_fract_z
Ba1 Ba 0.119 0.000 0.239
Ba2 Ba 0.125 0.500 0.224
Ba3 Ba 0.128 0.238 0.767
Pd1 Pd 0.000 0.000 0.500
Pd2 Pd 0.000 0.254 0.000
Pt1 Pt 0.247 0.500 0.987

2.
# Ba3PdPt PBE relaxed
# total energy	-3.93	eV/atom
# relative energy among the computed polymorphs	32	meV per atom
data_Ba3PdPt
_symmetry_space_group_name_H-M 'P 1 21/m 1'
_symmetry_Int_Tables_number 11
_cell_length_a 9.347
_cell_length_b 4.441
_cell_length_c 9.717
_cell_angle_alpha 90.00
_cell_angle_beta 102.83
_cell_angle_gamma 90.00
loop_
_symmetry_equiv_pos_as_xyz
'x,y,z'
'-x,-y,-z'
'-x,y+1/2,-z'
'x,-y+1/2,z'
loop_
_atom_site_label
_atom_site_type_symbol
_atom_site_fract_x
_atom_site_fract_y
_atom_site_fract_z
Ba1 Ba 0.078 0.250 0.337
Ba2 Ba 0.269 0.250 0.999
Ba3 Ba 0.399 0.750 0.636
Pd1 Pd 0.329 0.750 0.260
Pt1 Pt 0.170 0.250 0.672

3.
# Ba8Pd4Pt PBE relaxed
# total energy	-3.72	eV/atom
data_Ba8Pd4Pt
_symmetry_space_group_name_H-M 'R -3 m'
_symmetry_Int_Tables_number 166
_symmetry_space_group_name_Hall '-R 3 2"'
_cell_length_a 9.2445
_cell_length_b 9.2445
_cell_length_c 22.4165
_cell_angle_alpha 90.00
_cell_angle_beta 90.00
_cell_angle_gamma 120.00
loop_
_atom_site_label
_atom_site_type_symbol
_atom_site_fract_x
_atom_site_fract_y
_atom_site_fract_z
Ba1 Ba 0.0000 0.0000 0.2440
Ba2 Ba 0.0097 0.5048 0.7529
Pd1 Pd 0.0000 0.0000 0.5000
Pd2 Pd 0.0000 0.5000 0.5000
Pt1 Pt 0.0000 0.0000 0.0000

4.
# BaPd2Pt2 PBE relaxed
# total energy	-5.14	eV/atom
# relative energy among the computed polymorphs	12	meV per atom
data_BaPd2Pt2
_symmetry_space_group_name_H-M 'I 4/m m m'
_symmetry_Int_Tables_number 139
_symmetry_space_group_name_Hall '-I 4 2'
_cell_length_a 4.624
_cell_length_b 4.624
_cell_length_c 20.764
_cell_angle_alpha 90.00
_cell_angle_beta 90.00
_cell_angle_gamma 90.00
loop_
_atom_site_label
_atom_site_type_symbol
_atom_site_fract_x
_atom_site_fract_y
_atom_site_fract_z
Ba1 Ba 0.000 0.000 0.122
Pd1 Pd 0.000 0.000 0.312
Pd2 Pd 0.000 0.500 0.000
Pt1 Pt 0.000 0.000 0.435
Pt2 Pt 0.000 0.500 0.250

5.
# Ba6Pd2Pt PBE relaxed
# total energy	-3.60	eV/atom
data_Ba6Pd2Pt
_symmetry_space_group_name_H-M 'P 1 21/c 1'
_symmetry_Int_Tables_number 14
_cell_length_a 8.010
_cell_length_b 7.536
_cell_length_c 15.802
_cell_angle_alpha 90.00
_cell_angle_beta 120.45
_cell_angle_gamma 90.00
loop_
_symmetry_equiv_pos_as_xyz
'x,y,z'
'-x,-y,-z'
'-x,y+1/2,-z+1/2'
'x,-y+1/2,z+1/2'
loop_
_atom_site_label
_atom_site_type_symbol
_atom_site_fract_x
_atom_site_fract_y
_atom_site_fract_z
Ba1 Ba 0.003 0.242 0.336
Ba2 Ba 0.330 0.723 0.000
Ba3 Ba 0.332 0.240 0.665
Pd1 Pd 0.324 0.001 0.325
Pt1 Pt 0.000 0.000 0.500

6.
# Ba12Pd5Pt3 PBE relaxed
# total energy	-3.69	eV/atom
data_Ba12Pd5Pt3
_symmetry_space_group_name_H-M 'I a -3 d'
_symmetry_Int_Tables_number 230
_symmetry_space_group_name_Hall '-I 4bd 2c 3'
_cell_length_a 18.749
_cell_length_b 18.749
_cell_length_c 18.749
_cell_angle_alpha 90.00
_cell_angle_beta 90.00
_cell_angle_gamma 90.00
loop_
_atom_site_label
_atom_site_type_symbol
_atom_site_fract_x
_atom_site_fract_y
_atom_site_fract_z
Ba1 Ba 0.022 0.069 0.653
Pd1 Pd 0.000 0.000 0.000
Pd2 Pd 0.000 0.250 0.375
Pt1 Pt 0.000 0.250 0.125

7.
# BaPdPt PBE relaxed
# total energy	-5.05	eV/atom
# relative energy among the computed polymorphs	0	meV per atom
data_BaPdPt
_symmetry_space_group_name_H-M 'I m m a'
_symmetry_Int_Tables_number 74
_symmetry_space_group_name_Hall '-I 2b 2'
_cell_length_a 5.648
_cell_length_b 5.787
_cell_length_c 8.095
_cell_angle_alpha 90.00
_cell_angle_beta 90.00
_cell_angle_gamma 90.00
loop_
_atom_site_label
_atom_site_type_symbol
_atom_site_fract_x
_atom_site_fract_y
_atom_site_fract_z
Ba1 Ba 0.000 0.250 0.123
Pd1 Pd 0.000 0.000 0.500
Pt1 Pt 0.250 0.250 0.750

8.
# BaPuPdPt PBE relaxed
# total energy	-7.35	eV/atom
data_BaPuPdPt
_symmetry_space_group_name_H-M 'P 3 m 1'
_symmetry_Int_Tables_number 156
_cell_length_a 4.3263
_cell_length_b 4.3263
_cell_length_c 7.2512
_cell_angle_alpha 90.00
_cell_angle_beta 90.00
_cell_angle_gamma 120.00
loop_
_symmetry_equiv_pos_as_xyz
'x,y,z'
'-y,x-y,z'
'-x+y,-x,z'
'-y,-x,z'
'-x+y,y,z'
'x,x-y,z'
loop_
_atom_site_label
_atom_site_type_symbol
_atom_site_fract_x
_atom_site_fract_y
_atom_site_fract_z
Ba1 Ba 0.0000 0.0000 0.0000
Pu1 Pu 0.6667 0.3333 0.4878
Pd1 Pd 0.3333 0.6667 0.6978
Pt1 Pt 0.3333 0.6667 0.2926

Number 1: energy of formation -670.0 kJ/mol of formula units. Number 2: energy of formation -255.3 kJ/mol of formula units. Number 3: energy of formation -601.1 kJ/mol of formula units. Number 4: energy of formation -126.9 kJ/mol of formula units. Number 5: energy of formation -427.6 kJ/mol of formula units. Number 6: energy of formation -640.8 kJ/mol of formula units. Number 7: energy of formation -192.6 kJ/mol of formula units. Number 8: energy of formation -185.2 kJ/mol of formula units.